Material: LuNbNi2
Method: DFT, PBE-GGA
State: optimized geometry

ΔH_f (0 K) = -0.24 eV/atom
magnetization = 0.0 μB/f.u.

Lattice parameters (Å, degrees): 4.2641 4.2641 13.3480 90.00 90.00 120.00
Space group R-3m (No. 166, hexagonal axes)
One atom of each set of equivalent atoms:
Lu 0.0000 0.0000 0.0000 (multiplicity 3)
Nb 0.0000 0.0000 0.5000 (multiplicity 3)
Ni 0.0000 0.0000 0.2079 (multiplicity 6)